Arrangement w

The following is a PBE-GGA calculation of an optimized crystal structure of AgAs2SeF, from the Alexandria database.

Computed properties:
SG: P4/mmm
Calculated density: 4.7 Mg/m³

a = 5.0342 Å, b = 5.0342 Å, c = 4.9912 Å
α = 90.00°, β = 90.00°, γ = 90.00°
Positions (direct):
F 0.5000 0.5000 0.5000
As 0.5000 0.0000 0.0000
Ag 0.0000 0.0000 0.0000
Se 0.0000 0.0000 0.5000
As 0.0000 0.5000 0.0000


Arrangement x

The following is a PBE-GGA calculation of an optimized crystal structure of AgAs2SeF, from the Alexandria database.

Computed properties:
SG: P4/mmm
Calculated density: 5.8 Mg/m³

a = 4.3415 Å, b = 4.3415 Å, c = 5.3753 Å
α = 90.00°, β = 90.00°, γ = 90.00°
Positions (direct):
Se 0.0000 0.0000 0.5000
As 0.0000 0.5000 0.0000
F 0.0000 0.0000 0.0000
As 0.5000 0.0000 0.0000
Ag 0.5000 0.5000 0.5000


Of them, the most stable is arrangement x and the least stable is arrangement w.


Arrangement w

The following is a PBE-GGA calculation of an optimized crystal structure of Fe3AgAs, from the Alexandria database.

Computed properties:
SG: Pm-3m
Calculated density: 6.8 Mg/m³

a = 4.4157 Å, b = 4.4157 Å, c = 4.4157 Å
α = 90.00°, β = 90.00°, γ = 90.00°
Positions (direct):
Fe 0.5000 0.0000 0.0000
Fe 0.0000 0.0000 0.5000
Fe 0.0000 0.5000 0.0000
As 0.0000 0.0000 0.0000
Ag 0.5000 0.5000 0.5000


Arrangement x

The following is a PBE-GGA calculation of an optimized crystal structure of Fe3AgAs, from the Alexandria database.

Computed properties:
SG: Pm-3m
Calculated density: 5.7 Mg/m³

a = 4.6860 Å, b = 4.6860 Å, c = 4.6860 Å
α = 90.00°, β = 90.00°, γ = 90.00°
Positions (direct):
Fe 0.5000 0.0000 0.0000
Ag 0.0000 0.0000 0.0000
Fe 0.0000 0.5000 0.0000
As 0.5000 0.5000 0.5000
Fe 0.0000 0.0000 0.5000


Of them, the most stable is arrangement w and the least stable is arrangement x.


Arrangement w

The following is a PBE-GGA calculation of an optimized crystal structure of FeAgAs, from the Alexandria database.

Computed properties:
SG: I4mm
Calculated density: 8.3 Mg/m³

a = 5.4468 Å, b = 5.4476 Å, c = 5.4476 Å
α = 147.05°, β = 147.05°, γ = 47.29°
Positions (direct):
Fe 0.3051 0.3051 0.0000
As 0.7008 0.7008 0.0000
Ag 0.9941 0.9941 0.0000


Arrangement x

The following is a PBE-GGA calculation of an optimized crystal structure of FeAgAs, from the Alexandria database.

Computed properties:
SG: P4/nmm
Calculated density: 8.5 Mg/m³

a = 3.8989 Å, b = 3.8989 Å, c = 6.1292 Å
α = 90.00°, β = 90.00°, γ = 90.00°
Positions (direct):
Ag 0.0000 0.5000 0.8555
Fe 0.5000 0.5000 0.5000
As 0.0000 0.5000 0.2871
As 0.5000 0.0000 0.7129
Ag 0.5000 0.0000 0.1445
Fe 0.0000 0.0000 0.5000


Of them, the most stable is arrangement x and the least stable is arrangement w.